The following is a DFT calculation (GGA-PBE) of a relaxed structure of Li2Cd3In2.

Cell and atoms, written as POSCAR:
```
Li2Cd3In2
1.0
4.558 0.000 0.000
0.000 21.534 0.000
0.000 0.000 3.131
Li Cd In
4 6 4
Cartesian
0.000 3.199 0.000
0.000 18.335 0.000
2.279 7.568 0.000
2.279 13.966 0.000
0.000 0.000 0.000
0.000 9.210 1.565
0.000 12.324 1.565
2.279 1.557 1.565
2.279 10.767 0.000
2.279 19.977 1.565
0.000 6.275 1.565
0.000 15.259 1.565
2.279 4.492 1.565
2.279 17.042 1.565
```

For the formation energy, the calculation gives -139 meV per atom. The space group is Cmmm. The calculation puts the electronic total energy at -13.0 eV/f.u.

=====

The following is a DFT calculation (GGA-PBE) of a relaxed structure of Li3CdIn12.

Cell and atoms, written as POSCAR:
```
Li3CdIn12
1.0
4.619 0.000 0.000
0.000 4.619 0.000
0.000 0.000 18.352
Li Cd In
3 1 12
Cartesian
0.000 0.000 0.000
0.000 0.000 4.460
0.000 0.000 13.892
0.000 0.000 9.176
0.000 2.310 2.252
0.000 2.310 6.765
0.000 2.310 11.588
0.000 2.310 16.100
2.310 0.000 2.252
2.310 0.000 6.765
2.310 0.000 11.588
2.310 0.000 16.100
2.310 2.310 0.000
2.310 2.310 4.503
2.310 2.310 9.176
2.310 2.310 13.849
```

For the formation energy, the calculation gives -92 meV per atom. The space group is P4/mmm. The calculation puts the electronic total energy at -41.0 eV/f.u.

=====

The following is a DFT calculation (GGA-PBE) of a relaxed structure of LiCdIn2.

Cell and atoms, written as POSCAR:
```
LiCdIn2
1.0
3.325 0.000 0.000
0.000 5.041 0.000
-0.004 0.000 5.474
Li Cd In
1 1 2
Cartesian
0.000 0.000 0.000
0.005 2.521 1.715
1.663 2.521 4.585
1.669 0.000 2.740
```

For the formation energy, the calculation gives -118 meV per atom. The space group is Pm. The calculation puts the electronic total energy at -8.8 eV/f.u.